# BeZnTc2, relaxed, DFT GGA-PBE
# Crystal system: orthorhombic
# Offset from the most stable computed form (meV/atom): 140.9
# Mass density (g/cm3): 8.578
# Total magnetization (μB/cell): 0.00
# Energy of formation from the pure elements (meV/atom): 103
data_BeZnTc2
_cell_length_a 3.158
_cell_length_b 4.142
_cell_length_c 8.005
_cell_angle_alpha 90.00
_cell_angle_beta 90.00
_cell_angle_gamma 90.00
_space_group_name_H-M_alt 'C m m m'
_space_group_IT_number 65
_space_group_name_Hall '-C 2 2'
loop_
_atom_site_label
_atom_site_fract_x
_atom_site_fract_y
_atom_site_fract_z
Be1 0.000 0.000 0.000
Zn1 0.000 0.000 0.500
Tc1 0.000 0.500 0.226